{"formula": "Zn2PW", "functional": "PBE-GGA", "state": "relaxed", "lattice_angstrom": [[8.0097, -1.5100, -0.0062], [8.0097, 1.5100, -0.0062], [7.7270, 0.0000, 2.5940]], "species": ["Zn", "Zn", "P", "W"], "frac_coords": [[0.0000, 0.0000, 0.0000], [0.7528, 0.7528, 0.7528], [0.5054, 0.5054, 0.5054], [0.2418, 0.2418, 0.2418]], "total_energy_ev_per_atom": -5.134}